[1]
The following is a DFT calculation (GGA-PBE) of a geometry-optimized Mg2TaAl structure.

Cell and atoms, written as extended XYZ:
```
4
Lattice="5.457 0.002 0.000 -2.547 4.826 0.000 0.000 0.000 2.871" Properties=species:S:1:pos:R:3 pbc="T T T"
Ta 2.728 0.001 1.436
Al -1.273 2.413 1.436
Mg 1.455 2.414 0.000
Mg 0.000 0.000 0.000
```

Output
Polymorph energy (0 for the lowest one) = 105 meV/atom
Electronic total energy = -18.18 eV/f.u.
Total magnetization = 0.0 μB per formula unit
Fermi-level density of states = 2.452 states/eV/f.u.

---

[2]
The following is a DFT calculation (GGA-PBE) of a geometry-optimized MgTaAl structure.

Cell and atoms, written as extended XYZ:
```
3
Lattice="-6.290 3.047 0.604 -6.869 -0.918 1.095 6.869 -0.861 1.138" Properties=species:S:1:pos:R:3 pbc="T T T"
Ta -8.660 1.401 1.118
Mg -4.395 0.711 0.567
Al -0.104 0.017 0.013
```

Output
Polymorph energy (0 for the lowest one) = 0 meV/atom
Electronic total energy = -17.14 eV/f.u.
Total magnetization = 0.0 μB per formula unit
Fermi-level density of states = 1.423 states/eV/f.u.

---

[3]
The following is a DFT calculation (GGA-PBE) of a geometry-optimized MgTa2Al structure.

Cell and atoms, written as extended XYZ:
```
4
Lattice="3.466 0.000 0.000 0.000 3.466 0.000 0.000 0.000 6.235" Properties=species:S:1:pos:R:3 pbc="T T T"
Ta 0.000 0.000 0.208
Ta 1.733 1.733 1.452
Mg 1.733 1.733 4.650
Al 0.000 0.000 3.043
```

Output
Polymorph energy (0 for the lowest one) = 68 meV/atom
Electronic total energy = -28.69 eV/f.u.
Total magnetization = 0.0 μB per formula unit
Fermi-level density of states = 2.560 states/eV/f.u.

---

Which value of electronic total energy does entry 2 give? -17.14 eV/f.u.

---

Which value of total magnetization does entry 2 give? 0.0 μB per formula unit

---

The highest polymorph energy (0 for the lowest one) belongs to which entry? Mg2TaAl